Computed, not measured: crystalline Li8MgPb6 at its relaxed geometry at the GGA-PBE level of DFT.

Results
uncorrected energy: -41.43 eV/cell
V: 340.65 Å³/cell
SG: R-3, No. 148
mass density: 6.45 g/cm³

abc: 7.444 7.444 7.444
angles: 67.91 67.91 67.91
Positions (direct):
Li 0.093 0.424 0.655
Li 0.231 0.231 0.231
Li 0.345 0.907 0.576
Li 0.424 0.655 0.093
Li 0.576 0.345 0.907
Li 0.655 0.093 0.424
Li 0.769 0.769 0.769
Li 0.907 0.576 0.345
Mg 0.500 0.500 0.500
Pb 0.093 0.847 0.363
Pb 0.153 0.637 0.907
Pb 0.363 0.093 0.847
Pb 0.637 0.907 0.153
Pb 0.847 0.363 0.093
Pb 0.907 0.153 0.637

Computed, not measured: crystalline CaIn3Mo at its relaxed geometry at the GGA-PBE level of DFT.

Results
energy above the lowest structure with this stoichiometry: 0.0 meV per atom
V: 146.15 Å³/cell
SG: Pm-3m, No. 221
mass density: 5.46 g/cm³

abc: 5.267 5.267 5.267
angles: 90.00 90.00 90.00
Positions (direct):
Ca 0.000 0.000 0.000
In 0.000 0.500 0.500
In 0.500 0.000 0.500
In 0.500 0.500 0.000
Mo 0.500 0.500 0.500

Question: V of number 2 (CaIn3Mo)?
Answer: 146.15 Å³/cell